(1)
Entry from Alexandria: a relaxed structure of LiCa4H (GGA-PBE).

Unit cell a=8.3626 b=10.0035 c=11.5296 alpha=90.00 beta=127.98 gamma=90.00
Closest atoms and distances in Å follow each position.
Fractional coordinates of all 24 atoms:
Li  0.1148  0.1949  0.2403  6 Ca 3.23-3.59
Li  0.1148  0.3051  0.7403  6 Ca 3.23-3.59
Li  0.8852  0.6949  0.2597  6 Ca 3.23-3.59
Li  0.8852  0.8051  0.7597  6 Ca 3.23-3.59
Ca  0.2009  0.6059  0.6475  1 H 2.28
Ca  0.2009  0.8941  0.1475  1 H 2.28
Ca  0.2397  0.5239  0.2910  1 H 2.31
Ca  0.2397  0.9761  0.7910  1 H 2.31
Ca  0.3207  0.2452  0.0812  1 H 2.28
Ca  0.3207  0.2548  0.5812  1 H 2.28
Ca  0.3386  0.6201  0.0251  1 H 2.28
Ca  0.3386  0.8799  0.5251  1 H 2.28
Ca  0.6614  0.1201  0.4749  1 H 2.28
Ca  0.6614  0.3799  0.9749  1 H 2.28
Ca  0.6793  0.7452  0.4188  1 H 2.28
Ca  0.6793  0.7548  0.9188  1 H 2.28
Ca  0.7603  0.0239  0.2090  1 H 2.31
Ca  0.7603  0.4761  0.7090  1 H 2.31
Ca  0.7991  0.1059  0.8525  1 H 2.28
Ca  0.7991  0.3941  0.3525  1 H 2.28
H  0.3565  0.6906  0.2213  4 Ca 2.28-2.31
H  0.3565  0.8094  0.7213  4 Ca 2.28-2.31
H  0.6435  0.1906  0.2787  4 Ca 2.28-2.31
H  0.6435  0.3094  0.7787  4 Ca 2.28-2.31

D(E_F) = 17.94 states/eV per cell
Mass density = 1.47 g/cm3
Total DFT energy (no corrections) = -2.293 eV per atom
Symmetry = No. 14


(2)
Entry from Alexandria: a relaxed structure of LiCaH (GGA-PBE).

Unit cell a=3.8273 b=3.8284 c=8.3623 alpha=90.00 beta=90.17 gamma=90.00
Closest atoms and distances in Å follow each position.
Fractional coordinates of all 6 atoms:
Li  0.2496  0.2500  0.0636  4 Li 2.90-2.91
Li  0.7504  0.7500  0.9364  4 Li 2.90-2.91
Ca  0.2512  0.2500  0.6502  4 H 2.29
Ca  0.7488  0.7500  0.3498  4 H 2.29
H  0.2500  0.7500  0.5000  4 Ca 2.29
H  0.7500  0.2500  0.5000  4 Ca 2.29

Polymorph energy (0 for the lowest one) = 0.000 eV per formula unit
D(E_F) = 2.80 states/eV per cell
Mass density = 1.30 g/cm3
Total DFT energy (no corrections) = -2.689 eV per atom
Symmetry = No. 11


(3)
Entry from Alexandria: a relaxed structure of LiCa2H (GGA-PBE).

Unit cell a=6.5542 b=6.5542 c=6.5542 alpha=116.55 beta=116.55 gamma=96.08
Closest atoms and distances in Å follow each position.
Fractional coordinates of all 8 atoms:
Li  0.0000  0.0000  0.0000  4 Ca 3.21
Li  0.7500  0.2500  0.5000  4 Ca 3.21
Ca  0.2350  0.6250  0.1100  2 H 2.26
Ca  0.3750  0.4850  0.6100  2 H 2.26
Ca  0.5150  0.1250  0.8900  2 H 2.26
Ca  0.8750  0.7650  0.3900  2 H 2.26
H  0.2500  0.7500  0.5000  4 Ca 2.26
H  0.5000  0.5000  0.0000  4 Ca 2.26

Polymorph energy (0 for the lowest one) = 0.156 eV per formula unit
D(E_F) = 0.91 states/eV per cell
Mass density = 1.41 g/cm3
Total DFT energy (no corrections) = -2.432 eV per atom
Symmetry = No. 122


(4)
Entry from Alexandria: a relaxed structure of Li3Ca12H5 (GGA-PBE).

Unit cell a=14.1207 b=14.1207 c=14.1207 alpha=109.47 beta=109.47 gamma=109.47
Closest atoms and distances in Å follow each position.
Fractional coordinates of all 80 atoms:
Li  0.1250  0.2500  0.3750  8 Ca 3.24-3.34
Li  0.1250  0.3750  0.7500  8 Ca 3.24-3.34
Li  0.2500  0.3750  0.1250  8 Ca 3.24-3.34
Li  0.2500  0.8750  0.6250  8 Ca 3.24-3.34
Li  0.3750  0.1250  0.2500  8 Ca 3.24-3.34
Li  0.3750  0.7500  0.1250  8 Ca 3.24-3.34
Li  0.6250  0.2500  0.8750  8 Ca 3.24-3.34
Li  0.6250  0.8750  0.7500  8 Ca 3.24-3.34
Li  0.7500  0.1250  0.3750  8 Ca 3.24-3.34
Li  0.7500  0.6250  0.8750  8 Ca 3.24-3.34
Li  0.8750  0.6250  0.2500  8 Ca 3.24-3.34
Li  0.8750  0.7500  0.6250  8 Ca 3.24-3.34
Ca  0.0111  0.2030  0.1119  1 H 2.27
Ca  0.0111  0.3081  0.8992  1 H 2.27
Ca  0.0911  0.7030  0.6919  1 H 2.27
Ca  0.0911  0.8881  0.3992  1 H 2.27
Ca  0.1008  0.6119  0.4089  1 H 2.27
Ca  0.1008  0.9889  0.6919  1 H 2.27
Ca  0.1119  0.0111  0.2030  1 H 2.27
Ca  0.1119  0.6008  0.9089  1 H 2.27
Ca  0.1919  0.2030  0.5911  1 H 2.27
Ca  0.1919  0.4889  0.6008  1 H 2.27
Ca  0.2030  0.1119  0.0111  1 H 2.27
Ca  0.2030  0.5911  0.1919  1 H 2.27
Ca  0.2970  0.3081  0.9089  1 H 2.27
Ca  0.2970  0.4889  0.3881  1 H 2.27
Ca  0.3081  0.8992  0.0111  1 H 2.27
Ca  0.3081  0.9089  0.2970  1 H 2.27
Ca  0.3881  0.2970  0.4889  1 H 2.27
Ca  0.3881  0.5911  0.8992  1 H 2.27
Ca  0.3992  0.0911  0.8881  1 H 2.27
Ca  0.3992  0.8081  0.5111  1 H 2.27
Ca  0.4089  0.1008  0.6119  1 H 2.27
Ca  0.4089  0.8081  0.7970  1 H 2.27
Ca  0.4889  0.3881  0.2970  1 H 2.27
Ca  0.4889  0.6008  0.1919  1 H 2.27
Ca  0.5111  0.3992  0.8081  1 H 2.27
Ca  0.5111  0.6119  0.7030  1 H 2.27
Ca  0.5911  0.1919  0.2030  1 H 2.27
Ca  0.5911  0.8992  0.3881  1 H 2.27
Ca  0.6008  0.1919  0.4889  1 H 2.27
Ca  0.6008  0.9089  0.1119  1 H 2.27
Ca  0.6119  0.4089  0.1008  1 H 2.27
Ca  0.6119  0.7030  0.5111  1 H 2.27
Ca  0.6919  0.0911  0.7030  1 H 2.27
Ca  0.6919  0.1008  0.9889  1 H 2.27
Ca  0.7030  0.5111  0.6119  1 H 2.27
Ca  0.7030  0.6919  0.0911  1 H 2.27
Ca  0.7970  0.4089  0.8081  1 H 2.27
Ca  0.7970  0.8881  0.9889  1 H 2.27
Ca  0.8081  0.5111  0.3992  1 H 2.27
Ca  0.8081  0.7970  0.4089  1 H 2.27
Ca  0.8881  0.3992  0.0911  1 H 2.27
Ca  0.8881  0.9889  0.7970  1 H 2.27
Ca  0.8992  0.0111  0.3081  1 H 2.27
Ca  0.8992  0.3881  0.5911  1 H 2.27
Ca  0.9089  0.1119  0.6008  1 H 2.27
Ca  0.9089  0.2970  0.3081  1 H 2.27
Ca  0.9889  0.6919  0.1008  1 H 2.27
Ca  0.9889  0.7970  0.8881  1 H 2.27
H  0.0000  0.0000  0.0000  6 Ca 2.69
H  0.0000  0.0000  0.5000  6 Ca 2.69
H  0.0000  0.5000  0.0000  6 Ca 2.69
H  0.0000  0.5000  0.5000  6 Ca 2.69
H  0.1250  0.7500  0.8750  4 Ca 2.27
H  0.1250  0.8750  0.2500  4 Ca 2.27
H  0.2500  0.1250  0.8750  4 Ca 2.27
H  0.2500  0.6250  0.3750  4 Ca 2.27
H  0.3750  0.2500  0.6250  4 Ca 2.27
H  0.3750  0.6250  0.7500  4 Ca 2.27
H  0.5000  0.0000  0.0000  6 Ca 2.69
H  0.5000  0.0000  0.5000  6 Ca 2.69
H  0.5000  0.5000  0.0000  6 Ca 2.69
H  0.5000  0.5000  0.5000  6 Ca 2.69
H  0.6250  0.3750  0.2500  4 Ca 2.27
H  0.6250  0.7500  0.3750  4 Ca 2.27
H  0.7500  0.3750  0.6250  4 Ca 2.27
H  0.7500  0.8750  0.1250  4 Ca 2.27
H  0.8750  0.1250  0.7500  4 Ca 2.27
H  0.8750  0.2500  0.1250  4 Ca 2.27

D(E_F) = 60.52 states/eV per cell
Mass density = 1.55 g/cm3
Total DFT energy (no corrections) = -2.458 eV per atom
Symmetry = No. 230


(5)
Entry from Alexandria: a relaxed structure of Li2Ca4H (GGA-PBE).

Unit cell a=9.4562 b=9.4562 c=9.4562 alpha=150.28 beta=150.28 gamma=42.53
Closest atoms and distances in Å follow each position.
Fractional coordinates of all 7 atoms:
Li  0.1347  0.1347  0.0000  9 Ca 3.34-3.51
Li  0.8653  0.8653  0.0000  9 Ca 3.34-3.51
Ca  0.0000  0.5000  0.5000  2 H 2.42
Ca  0.3242  0.3242  0.0000  1 H 3.10, 1 Li 3.34
Ca  0.5000  0.0000  0.5000  2 H 2.42
Ca  0.6758  0.6758  0.0000  1 H 3.10, 1 Li 3.34
H  0.5000  0.5000  0.0000  4 Ca 2.42

D(E_F) = 6.15 states/eV per cell
Mass density = 1.40 g/cm3
Total DFT energy (no corrections) = -2.192 eV per atom
Symmetry = No. 139


(6)
Entry from Alexandria: a relaxed structure of LiCa2H (GGA-PBE).

Unit cell a=4.1241 b=7.3886 c=8.0257 alpha=62.94 beta=75.14 gamma=89.99
Closest atoms and distances in Å follow each position.
Fractional coordinates of all 8 atoms:
Li  0.1158  0.1136  0.2692  1 Li 3.16, 6 Ca 3.27-3.36
Li  0.8842  0.8864  0.7308  1 Li 3.16, 6 Ca 3.27-3.36
Ca  0.1911  0.6900  0.1177  2 H 2.33-2.34
Ca  0.4993  0.7308  0.5012  2 H 2.29
Ca  0.5007  0.2692  0.4988  2 H 2.29
Ca  0.8089  0.3100  0.8823  2 H 2.33-2.34
H  0.3892  0.3892  0.7223  4 Ca 2.29-2.34
H  0.6108  0.6108  0.2777  4 Ca 2.29-2.34

Polymorph energy (0 for the lowest one) = 0.000 eV per formula unit
D(E_F) = 4.97 states/eV per cell
Mass density = 1.40 g/cm3
Total DFT energy (no corrections) = -2.471 eV per atom
Symmetry = No. 2


(7)
Entry from Alexandria: a relaxed structure of LiCaH2 (GGA-PBE).

Unit cell a=5.9081 b=5.9081 c=5.9081 alpha=33.05 beta=33.05 gamma=33.05
Closest atoms and distances in Å follow each position.
Fractional coordinates of all 4 atoms:
Li  0.0000  0.0000  0.0000  6 H 2.32-2.49
Ca  0.1744  0.1744  0.1744  6 H 2.37-2.39
H  0.5910  0.5910  0.5910  3 Li 2.32, 3 Ca 2.39
H  0.7598  0.7598  0.7598  3 Ca 2.37, 3 Li 2.49

Polymorph energy (0 for the lowest one) = 0.653 eV per formula unit
D(E_F) = 1.36 states/eV per cell
Mass density = 1.49 g/cm3
Total DFT energy (no corrections) = -2.812 eV per atom
Symmetry = No. 160


(8)
Entry from Alexandria: a relaxed structure of LiCaH (GGA-PBE).

Unit cell a=3.5403 b=3.5403 c=4.2431 alpha=90.00 beta=90.00 gamma=90.00
Closest atoms and distances in Å follow each position.
Fractional coordinates of all 3 atoms:
Li  0.0000  0.0000  0.0000  2 H 2.12
Ca  0.5000  0.5000  0.5000  4 H 2.50
H  0.0000  0.0000  0.5000  2 Li 2.12

Polymorph energy (0 for the lowest one) = 0.109 eV per formula unit
D(E_F) = 0.80 states/eV per cell
Mass density = 1.50 g/cm3
Total DFT energy (no corrections) = -2.652 eV per atom
Symmetry = No. 123


(9)
Entry from Alexandria: a relaxed structure of Li2Ca2H (GGA-PBE).

Unit cell a=6.7024 b=6.7024 c=5.9716 alpha=90.00 beta=90.00 gamma=90.00
Closest atoms and distances in Å follow each position.
Fractional coordinates of all 10 atoms:
Li  0.1463  0.3537  0.0000  1 Li 2.77
Li  0.3537  0.8537  0.0000  1 Li 2.77
Li  0.6463  0.1463  0.0000  1 Li 2.77
Li  0.8537  0.6463  0.0000  1 Li 2.77
Ca  0.1932  0.6932  0.5000  2 H 2.43
Ca  0.3068  0.1932  0.5000  2 H 2.43
Ca  0.6932  0.8068  0.5000  2 H 2.43
Ca  0.8068  0.3068  0.5000  2 H 2.43
H  0.0000  0.0000  0.5000  4 Ca 2.43
H  0.5000  0.5000  0.5000  4 Ca 2.43

D(E_F) = 7.87 states/eV per cell
Mass density = 1.18 g/cm3
Total DFT energy (no corrections) = -2.177 eV per atom
Symmetry = No. 127


(10)
Entry from Alexandria: a relaxed structure of LiCa2H3 (GGA-PBE).

Unit cell a=6.5853 b=6.5853 c=9.1103 alpha=110.72 beta=110.72 gamma=33.59
Closest atoms and distances in Å follow each position.
Fractional coordinates of all 12 atoms:
Li  0.2113  0.2113  0.1008  1 H 1.83
Li  0.7887  0.7887  0.8992  1 H 1.83
Ca  0.1567  0.1567  0.5755  7 H 2.28-2.38
Ca  0.4912  0.4912  0.2066  4 H 2.28-2.31
Ca  0.5088  0.5088  0.7934  4 H 2.28-2.31
Ca  0.8433  0.8433  0.4245  7 H 2.28-2.38
H  0.0017  0.0017  0.6529  4 Ca 2.28-2.31
H  0.3371  0.3371  0.2843  1 Li 1.83
H  0.3385  0.3385  0.5788  4 Ca 2.28-2.38
H  0.6615  0.6615  0.4212  4 Ca 2.28-2.38
H  0.6629  0.6629  0.7157  1 Li 1.83
H  0.9983  0.9983  0.3471  4 Ca 2.28-2.31

D(E_F) = 4.53 states/eV per cell
Mass density = 1.47 g/cm3
Total DFT energy (no corrections) = -3.060 eV per atom
Symmetry = No. 12


(11)
Entry from Alexandria: a relaxed structure of LiCa2H2 (GGA-PBE).

Unit cell a=7.2359 b=7.2359 c=7.2359 alpha=148.86 beta=148.86 gamma=44.62
Closest atoms and distances in Å follow each position.
Fractional coordinates of all 5 atoms:
Li  0.0000  0.0000  0.0000  8 Ca 3.48, 8 H 3.87, 4 Li 3.88
Ca  0.3407  0.3407  0.0000  4 H 2.29
Ca  0.6593  0.6593  0.0000  4 H 2.29
H  0.2500  0.7500  0.5000  4 Ca 2.29
H  0.7500  0.2500  0.5000  4 Ca 2.29

Polymorph energy (0 for the lowest one) = 0.000 eV per formula unit
D(E_F) = 2.69 states/eV per cell
Mass density = 1.46 g/cm3
Total DFT energy (no corrections) = -2.843 eV per atom
Symmetry = No. 139


(12)
Entry from Alexandria: a relaxed structure of LiCaH2 (GGA-PBE).

Unit cell a=8.0842 b=4.0542 c=7.0890 alpha=90.00 beta=90.00 gamma=90.00
Closest atoms and distances in Å follow each position.
Fractional coordinates of all 16 atoms:
Li  0.0315  0.2500  0.1190  4 H 1.85-2.03
Li  0.4685  0.7500  0.6190  4 H 1.85-2.03
Li  0.5315  0.2500  0.3810  4 H 1.85-2.03
Li  0.9685  0.7500  0.8810  4 H 1.85-2.03
Ca  0.1480  0.2500  0.6233  5 H 2.25-2.43
Ca  0.3520  0.7500  0.1233  5 H 2.25-2.43
Ca  0.6480  0.2500  0.8767  5 H 2.25-2.43
Ca  0.8520  0.7500  0.3767  5 H 2.25-2.43
H  0.0270  0.7500  0.6293  1 Li 1.85
H  0.0510  0.7500  0.1277  3 Li 1.87-2.03
H  0.4490  0.2500  0.6277  3 Li 1.87-2.03
H  0.4730  0.2500  0.1293  1 Li 1.85
H  0.5270  0.7500  0.8707  1 Li 1.85
H  0.5510  0.7500  0.3723  3 Li 1.87-2.03
H  0.9490  0.2500  0.8723  3 Li 1.87-2.03
H  0.9730  0.2500  0.3707  1 Li 1.85

Polymorph energy (0 for the lowest one) = 0.000 eV per formula unit
D(E_F) = 5.61 states/eV per cell
Mass density = 1.40 g/cm3
Total DFT energy (no corrections) = -2.975 eV per atom
Symmetry = No. 62


- Which formula does entry 3 have?
  LiCa2H


Please write out number 10 again, unchanged.
Entry from Alexandria: a relaxed structure of LiCa2H3 (GGA-PBE).

Unit cell a=6.5853 b=6.5853 c=9.1103 alpha=110.72 beta=110.72 gamma=33.59
Closest atoms and distances in Å follow each position.
Fractional coordinates of all 12 atoms:
Li  0.2113  0.2113  0.1008  1 H 1.83
Li  0.7887  0.7887  0.8992  1 H 1.83
Ca  0.1567  0.1567  0.5755  7 H 2.28-2.38
Ca  0.4912  0.4912  0.2066  4 H 2.28-2.31
Ca  0.5088  0.5088  0.7934  4 H 2.28-2.31
Ca  0.8433  0.8433  0.4245  7 H 2.28-2.38
H  0.0017  0.0017  0.6529  4 Ca 2.28-2.31
H  0.3371  0.3371  0.2843  1 Li 1.83
H  0.3385  0.3385  0.5788  4 Ca 2.28-2.38
H  0.6615  0.6615  0.4212  4 Ca 2.28-2.38
H  0.6629  0.6629  0.7157  1 Li 1.83
H  0.9983  0.9983  0.3471  4 Ca 2.28-2.31

D(E_F) = 4.53 states/eV per cell
Mass density = 1.47 g/cm3
Total DFT energy (no corrections) = -3.060 eV per atom
Symmetry = No. 12